1.
# ZrAl2Cu5 (PBE-GGA, optimized geometry)
data_ZrAl2Cu5
_cell_length_a 2.940
_cell_length_b 7.670
_cell_length_c 10.204
_cell_angle_alpha 90.00
_cell_angle_beta 90.00
_cell_angle_gamma 90.00
_space_group_name_H-M_alt 'I m m m'
_space_group_IT_number 71
_space_group_name_Hall '-I 2 2'
loop_
_atom_site_label
_atom_site_type_symbol
_atom_site_fract_x
_atom_site_fract_y
_atom_site_fract_z
Zr1 Zr 0.000 0.000 0.000
Al1 Al 0.000 0.500 0.249
Cu1 Cu 0.000 0.220 0.371
Cu2 Cu 0.000 0.500 0.000
# density	6.68	Mg/m³
# formation enthalpy at 0 K	-0.16	eV/atom



2.
# UCdBrO4 (PBE-GGA, optimized geometry)
data_UCdBrO4
_cell_length_a 14.302
_cell_length_b 6.248
_cell_length_c 6.667
_cell_angle_alpha 90.00
_cell_angle_beta 106.80
_cell_angle_gamma 90.00
_space_group_name_H-M_alt 'C 1 2/m 1'
_space_group_IT_number 12
loop_
_space_group_symop_operation_xyz
'x,y,z'
'-x,-y,-z'
'-x,y,-z'
'x,-y,z'
'x+1/2,y+1/2,z'
'-x+1/2,-y+1/2,-z'
'-x+1/2,y+1/2,-z'
'x+1/2,-y+1/2,z'
loop_
_atom_site_label
_atom_site_type_symbol
_atom_site_fract_x
_atom_site_fract_y
_atom_site_fract_z
U1 U 0.111 0.000 0.210
Cd1 Cd 0.188 0.500 0.951
Br1 Br 0.005 0.500 0.257
O1 O 0.066 0.000 0.909
O2 O 0.125 0.000 0.492
O3 O 0.209 0.228 0.180
# density	5.76	Mg/m³
# energy relative to the elements, uncorrected	-172.4	kJ per mole of atoms



3.
# Y2Al (PBE-GGA, optimized geometry)
data_Y2Al
_cell_length_a 11.839
_cell_length_b 3.737
_cell_length_c 7.770
_cell_angle_alpha 90.00
_cell_angle_beta 110.58
_cell_angle_gamma 90.00
_space_group_name_H-M_alt 'C 1 m 1'
_space_group_IT_number 8
loop_
_space_group_symop_operation_xyz
'x,y,z'
'x,-y,z'
'x+1/2,y+1/2,z'
'x+1/2,-y+1/2,z'
loop_
_atom_site_label
_atom_site_type_symbol
_atom_site_fract_x
_atom_site_fract_y
_atom_site_fract_z
Y1 Y 0.000 0.000 0.000
Y2 Y 0.000 0.000 0.499
Y3 Y 0.198 0.500 0.310
Y4 Y 0.303 0.000 0.690
Al1 Al 0.169 0.500 0.874
Al2 Al 0.330 0.000 0.124
# density	4.23	Mg/m³
# formation enthalpy at 0 K	-0.15	eV/atom



4.
# PmLu2Tl (PBE-GGA, optimized geometry)
data_PmLu2Tl
_cell_length_a 4.858
_cell_length_b 4.858
_cell_length_c 4.787
_cell_angle_alpha 90.00
_cell_angle_beta 90.00
_cell_angle_gamma 90.00
_space_group_name_H-M_alt 'P 4/m m m'
_space_group_IT_number 123
_space_group_name_Hall '-P 4 2'
loop_
_atom_site_label
_atom_site_type_symbol
_atom_site_fract_x
_atom_site_fract_y
_atom_site_fract_z
Pm1 Pm 0.000 0.000 0.000
Lu1 Lu 0.000 0.500 0.500
Tl1 Tl 0.500 0.500 0.000
# density	10.28	Mg/m³
# formation enthalpy at 0 K	-0.16	eV/atom



5.
# AlCuGe (PBE-GGA, optimized geometry)
data_AlCuGe
_cell_length_a 4.348
_cell_length_b 5.024
_cell_length_c 5.169
_cell_angle_alpha 104.12
_cell_angle_beta 112.13
_cell_angle_gamma 99.23
_space_group_name_H-M_alt 'P 1'
_space_group_IT_number 1
loop_
_space_group_symop_operation_xyz
'x,y,z'
loop_
_atom_site_label
_atom_site_type_symbol
_atom_site_fract_x
_atom_site_fract_y
_atom_site_fract_z
Al1 Al 0.000 0.000 0.000
Al2 Al 0.283 0.576 0.355
Cu1 Cu 0.378 0.693 0.912
Cu2 Cu 0.637 0.276 0.179
Ge1 Ge 0.753 0.406 0.752
Ge2 Ge 0.884 0.893 0.438
# density	5.57	Mg/m³
# formation enthalpy at 0 K	0.09	eV/atom



6.
# CsOsF2 (PBE-GGA, optimized geometry)
data_CsOsF2
_cell_length_a 6.897
_cell_length_b 6.897
_cell_length_c 6.897
_cell_angle_alpha 90.00
_cell_angle_beta 90.00
_cell_angle_gamma 90.00
_space_group_name_H-M_alt 'F m -3 m'
_space_group_IT_number 225
_space_group_name_Hall '-F 4 2 3'
loop_
_atom_site_label
_atom_site_type_symbol
_atom_site_fract_x
_atom_site_fract_y
_atom_site_fract_z
Cs1 Cs 0.000 0.000 0.000
Os1 Os 0.000 0.000 0.500
F1 F 0.250 0.250 0.250
# density	7.31	Mg/m³
# energy relative to the elements, uncorrected	2.5	kJ per mole of atoms



7.
# Pm3Pr4Y2 (PBE-GGA, optimized geometry)
data_Pm3Pr4Y2
_cell_length_a 3.6621
_cell_length_b 3.6621
_cell_length_c 27.2960
_cell_angle_alpha 90.00
_cell_angle_beta 90.00
_cell_angle_gamma 120.00
_space_group_name_H-M_alt 'P 3 m 1'
_space_group_IT_number 156
loop_
_space_group_symop_operation_xyz
'x,y,z'
'-y,x-y,z'
'-x+y,-x,z'
'-y,-x,z'
'-x+y,y,z'
'x,x-y,z'
loop_
_atom_site_label
_atom_site_type_symbol
_atom_site_fract_x
_atom_site_fract_y
_atom_site_fract_z
Pm1 Pm 0.0000 0.0000 0.0000
Pm2 Pm 0.0000 0.0000 0.3375
Pm3 Pm 0.6667 0.3333 0.6731
Pr1 Pr 0.0000 0.0000 0.5626
Pr2 Pr 0.0000 0.0000 0.7849
Pr3 Pr 0.6667 0.3333 0.2300
Pr4 Pr 0.6667 0.3333 0.4499
Y1 Y 0.6667 0.3333 0.1039
Y2 Y 0.6667 0.3333 0.8922
# density	6.16	Mg/m³
# formation enthalpy at 0 K	0.06	eV/atom



8.
# SrThC3N6 (PBE-GGA, optimized geometry)
data_SrThC3N6
_cell_length_a 6.9016
_cell_length_b 6.9016
_cell_length_c 15.4431
_cell_angle_alpha 90.00
_cell_angle_beta 90.00
_cell_angle_gamma 120.00
_space_group_name_H-M_alt 'R 3'
_space_group_IT_number 146
_space_group_name_Hall 'R 3'
loop_
_atom_site_label
_atom_site_type_symbol
_atom_site_fract_x
_atom_site_fract_y
_atom_site_fract_z
Sr1 Sr 0.0000 0.0000 0.0000
Th1 Th 0.0000 0.0000 0.6444
C1 C 0.0766 0.3708 0.4841
N1 N 0.0082 0.4581 0.2234
N2 N 0.0391 0.4195 0.4116
# density	3.44	Mg/m³
# energy relative to the elements, uncorrected	-68.3	kJ per mole of atoms